VASP calculation (PBE-GGA) on a geometry-optimized Ba12Au3Se5 structure.

Summary:
**Final energy**: -3.509 eV per atom
**Uncorrected formation energy**: -0.9927 eV/atom
**Fermi-level density of states**: 75.5 states/eV/cell

Cell lengths 16.9509, 16.9509, 16.9509 Å; angles 109.47, 109.47, 109.47 degrees
With the nearest neighbours (Å) after each atom.
Fractional coordinates of all 80 atoms:
Ba: 0.0461 0.2200 0.1286  2 Se 3.09-3.28
Ba: 0.0461 0.3261 0.9175  2 Se 3.09-3.28
Ba: 0.0825 0.6286 0.4086  2 Se 3.09-3.28
Ba: 0.0825 0.9539 0.6739  2 Se 3.09-3.28
Ba: 0.0914 0.7200 0.6739  2 Se 3.09-3.28
Ba: 0.0914 0.8714 0.4175  2 Se 3.09-3.28
Ba: 0.1286 0.0461 0.2200  2 Se 3.09-3.28
Ba: 0.1286 0.5825 0.9086  2 Se 3.09-3.28
Ba: 0.1739 0.2200 0.5914  2 Se 3.09-3.28
Ba: 0.1739 0.4539 0.5825  2 Se 3.09-3.28
Ba: 0.2200 0.1286 0.0461  2 Se 3.09-3.28
Ba: 0.2200 0.5914 0.1739  2 Se 3.09-3.28
Ba: 0.2800 0.3261 0.9086  2 Se 3.09-3.28
Ba: 0.2800 0.4539 0.3714  2 Se 3.09-3.28
Ba: 0.3261 0.9086 0.2800  2 Se 3.09-3.28
Ba: 0.3261 0.9175 0.0461  2 Se 3.09-3.28
Ba: 0.3714 0.2800 0.4539  2 Se 3.09-3.28
Ba: 0.3714 0.5914 0.9175  2 Se 3.09-3.28
Ba: 0.4086 0.0825 0.6286  2 Se 3.09-3.28
Ba: 0.4086 0.8261 0.7800  2 Se 3.09-3.28
Ba: 0.4175 0.0914 0.8714  2 Se 3.09-3.28
Ba: 0.4175 0.8261 0.5461  2 Se 3.09-3.28
Ba: 0.4539 0.3714 0.2800  2 Se 3.09-3.28
Ba: 0.4539 0.5825 0.1739  2 Se 3.09-3.28
Ba: 0.5461 0.4175 0.8261  2 Se 3.09-3.28
Ba: 0.5461 0.6286 0.7200  2 Se 3.09-3.28
Ba: 0.5825 0.1739 0.4539  2 Se 3.09-3.28
Ba: 0.5825 0.9086 0.1286  2 Se 3.09-3.28
Ba: 0.5914 0.1739 0.2200  2 Se 3.09-3.28
Ba: 0.5914 0.9175 0.3714  2 Se 3.09-3.28
Ba: 0.6286 0.4086 0.0825  2 Se 3.09-3.28
Ba: 0.6286 0.7200 0.5461  2 Se 3.09-3.28
Ba: 0.6739 0.0825 0.9539  2 Se 3.09-3.28
Ba: 0.6739 0.0914 0.7200  2 Se 3.09-3.28
Ba: 0.7200 0.5461 0.6286  2 Se 3.09-3.28
Ba: 0.7200 0.6739 0.0914  2 Se 3.09-3.28
Ba: 0.7800 0.4086 0.8261  2 Se 3.09-3.28
Ba: 0.7800 0.8714 0.9539  2 Se 3.09-3.28
Ba: 0.8261 0.5461 0.4175  2 Se 3.09-3.28
Ba: 0.8261 0.7800 0.4086  2 Se 3.09-3.28
Ba: 0.8714 0.4175 0.0914  2 Se 3.09-3.28
Ba: 0.8714 0.9539 0.7800  2 Se 3.09-3.28
Ba: 0.9086 0.1286 0.5825  2 Se 3.09-3.28
Ba: 0.9086 0.2800 0.3261  2 Se 3.09-3.28
Ba: 0.9175 0.0461 0.3261  2 Se 3.09-3.28
Ba: 0.9175 0.3714 0.5914  2 Se 3.09-3.28
Ba: 0.9539 0.6739 0.0825  2 Se 3.09-3.28
Ba: 0.9539 0.7800 0.8714  2 Se 3.09-3.28
Au: 0.1250 0.2500 0.3750  8 Ba 3.61-3.73
Au: 0.1250 0.3750 0.7500  8 Ba 3.61-3.73
Au: 0.2500 0.3750 0.1250  8 Ba 3.61-3.73
Au: 0.2500 0.8750 0.6250  8 Ba 3.61-3.73
Au: 0.3750 0.1250 0.2500  8 Ba 3.61-3.73
Au: 0.3750 0.7500 0.1250  8 Ba 3.61-3.73
Au: 0.6250 0.2500 0.8750  8 Ba 3.61-3.73
Au: 0.6250 0.8750 0.7500  8 Ba 3.61-3.73
Au: 0.7500 0.1250 0.3750  8 Ba 3.61-3.73
Au: 0.7500 0.6250 0.8750  8 Ba 3.61-3.73
Au: 0.8750 0.6250 0.2500  8 Ba 3.61-3.73
Au: 0.8750 0.7500 0.6250  8 Ba 3.61-3.73
Se: 0.0000 0.0000 0.0000  6 Ba 3.28
Se: 0.0000 0.0000 0.5000  6 Ba 3.28
Se: 0.0000 0.5000 0.0000  6 Ba 3.28
Se: 0.0000 0.5000 0.5000  6 Ba 3.28
Se: 0.1250 0.7500 0.8750  4 Ba 3.09
Se: 0.1250 0.8750 0.2500  4 Ba 3.09
Se: 0.2500 0.1250 0.8750  4 Ba 3.09
Se: 0.2500 0.6250 0.3750  4 Ba 3.09
Se: 0.3750 0.2500 0.6250  4 Ba 3.09
Se: 0.3750 0.6250 0.7500  4 Ba 3.09
Se: 0.5000 0.0000 0.0000  6 Ba 3.28
Se: 0.5000 0.0000 0.5000  6 Ba 3.28
Se: 0.5000 0.5000 0.0000  6 Ba 3.28
Se: 0.5000 0.5000 0.5000  6 Ba 3.28
Se: 0.6250 0.3750 0.2500  4 Ba 3.09
Se: 0.6250 0.7500 0.3750  4 Ba 3.09
Se: 0.7500 0.3750 0.6250  4 Ba 3.09
Se: 0.7500 0.8750 0.1250  4 Ba 3.09
Se: 0.8750 0.1250 0.7500  4 Ba 3.09
Se: 0.8750 0.2500 0.1250  4 Ba 3.09

---

VASP calculation (PBE-GGA) on a geometry-optimized BaAuSe2 structure.

Summary:
**Final energy**: -3.629 eV per atom
**Excess energy over the best structure of this formula in the dataset**: 0.416 eV per atom
**Uncorrected formation energy**: -0.5864 eV/atom
**Fermi-level density of states**: 6.3 states/eV/cell

Cell lengths 5.3079, 5.3079, 5.3079 Å; angles 60.00, 60.00, 60.00 degrees
With the nearest neighbours (Å) after each atom.
Fractional coordinates of all 4 atoms:
Ba: 0.0000 0.0000 0.0000  8 Se 3.25
Au: 0.5000 0.5000 0.5000  8 Se 3.25
Se: 0.2500 0.2500 0.2500  4 Au 3.25, 4 Ba 3.25
Se: 0.7500 0.7500 0.7500  4 Au 3.25, 4 Ba 3.25

---

VASP calculation (PBE-GGA) on a geometry-optimized Ba4AuSe structure.

Summary:
**Final energy**: -2.301 eV per atom
**Uncorrected formation energy**: 0.1077 eV/atom
**Fermi-level density of states**: 7.3 states/eV/cell

Cell lengths 7.0853, 7.0853, 7.0853 Å; angles 60.00, 60.00, 60.00 degrees
With the nearest neighbours (Å) after each atom.
Fractional coordinates of all 6 atoms:
Ba: 0.1241 0.1241 0.1241  6 Ba 3.52-3.57
Ba: 0.1241 0.1241 0.6278  6 Ba 3.52-3.57
Ba: 0.1241 0.6278 0.1241  6 Ba 3.52-3.57
Ba: 0.6278 0.1241 0.1241  6 Ba 3.52-3.57
Au: 0.5000 0.5000 0.5000  12 Ba 4.16, 4 Se 4.34
Se: 0.7500 0.7500 0.7500  12 Ba 4.15, 4 Au 4.34

---

VASP calculation (PBE-GGA) on a geometry-optimized BaAuSe2 structure.

Summary:
**Final energy**: -4.001 eV per atom
**Excess energy over the best structure of this formula in the dataset**: 0.043 eV per atom
**Uncorrected formation energy**: -0.9590 eV/atom
**Fermi-level density of states**: 5.8 states/eV/cell

Cell lengths 7.5595, 7.5595, 3.9138 Å; angles 90.00, 90.00, 90.00 degrees
With the nearest neighbours (Å) after each atom.
Fractional coordinates of all 8 atoms:
Ba: 0.0000 0.0000 0.0000  8 Se 3.43, 4 Au 3.78
Ba: 0.5000 0.5000 0.0000  8 Se 3.43, 4 Au 3.78
Au: 0.0000 0.5000 0.0000  4 Se 2.64
Au: 0.5000 0.0000 0.0000  4 Se 2.64
Se: 0.1656 0.3344 0.5000  2 Au 2.64
Se: 0.3344 0.8344 0.5000  2 Au 2.64
Se: 0.6656 0.1656 0.5000  2 Au 2.64
Se: 0.8344 0.6656 0.5000  2 Au 2.64

---

VASP calculation (PBE-GGA) on a geometry-optimized Ba5AuSe4 structure.

Summary:
**Final energy**: -4.407 eV per atom
**Uncorrected formation energy**: -1.7241 eV/atom
**Fermi-level density of states**: 5.0 states/eV/cell

Cell lengths 12.6499, 12.6499, 12.6499 Å; angles 158.57, 149.35, 37.70 degrees
With the nearest neighbours (Å) after each atom.
Fractional coordinates of all 10 atoms:
Ba: 0.0000 0.0000 0.0000  2 Au 3.34, 4 Se 3.37
Ba: 0.1995 0.1995 0.0000  6 Se 3.34-3.35
Ba: 0.3956 0.3956 0.0000  4 Se 3.30-3.34, 2 Au 3.43
Ba: 0.6044 0.6044 0.0000  4 Se 3.30-3.34, 2 Au 3.43
Ba: 0.8005 0.8005 0.0000  6 Se 3.34-3.35
Au: 0.5000 0.0000 0.5000  6 Ba 3.34-3.43
Se: 0.1007 0.6007 0.5000  6 Ba 3.34-3.37
Se: 0.2990 0.7990 0.5000  6 Ba 3.30-3.35
Se: 0.7010 0.2010 0.5000  6 Ba 3.30-3.35
Se: 0.8993 0.3993 0.5000  6 Ba 3.34-3.37

---

VASP calculation (PBE-GGA) on a geometry-optimized BaAu2Se structure.

Summary:
**Final energy**: -3.569 eV per atom
**Uncorrected formation energy**: -0.5787 eV/atom
**Fermi-level density of states**: 5.9 states/eV/cell

Cell lengths 10.6085, 10.6085, 10.6085 Å; angles 152.07, 152.07, 39.91 degrees
With the nearest neighbours (Å) after each atom.
Fractional coordinates of all 8 atoms:
Ba: 0.0000 0.0000 0.0000  4 Se 3.62, 8 Au 3.67-3.93
Ba: 0.7500 0.2500 0.5000  4 Se 3.62, 8 Au 3.67-3.93
Au: 0.3363 0.6250 0.2113  2 Au 2.59, 2 Se 2.81
Au: 0.3750 0.5863 0.7113  2 Au 2.59, 2 Se 2.81
Au: 0.4137 0.1250 0.7887  2 Au 2.59, 2 Se 2.81
Au: 0.8750 0.6637 0.2887  2 Au 2.59, 2 Se 2.81
Se: 0.2500 0.7500 0.5000  4 Au 2.81
Se: 0.5000 0.5000 0.0000  4 Au 2.81